[1]
Entry from Alexandria: a relaxed structure of CdCoSe2N (PBE).

a = 5.278 Å, b = 5.278 Å, c = 4.029 Å
α = 90.00°, β = 90.00°, γ = 90.00°
Fractional coordinates of all 5 atoms:
Cd 0.000 0.000 0.000
Co 0.500 0.500 0.500
Se 0.000 0.500 0.000
Se 0.500 0.000 0.000
N 0.000 0.000 0.500

Values from the calculation:
- E above lowest polymorph (meV per atom) = 1355.4
- calculated density (g cm⁻³) = 5.08
- M_tot (μB/f.u.) = 2.76

=====

[2]
Entry from Alexandria: a relaxed structure of Mg2Si3 (PBE).

a = 5.332 Å, b = 5.332 Å, c = 18.243 Å
α = 92.29°, β = 92.29°, γ = 44.60°
Fractional coordinates of all 20 atoms:
Mg 0.000 0.000 0.000
Mg 0.003 0.003 0.201
Mg 0.290 0.290 0.095
Mg 0.580 0.580 0.867
Mg 0.630 0.630 0.489
Mg 0.666 0.666 0.688
Mg 0.911 0.911 0.389
Mg 0.935 0.935 0.586
Si 0.017 0.017 0.755
Si 0.191 0.191 0.378
Si 0.213 0.213 0.590
Si 0.258 0.258 0.805
Si 0.337 0.337 0.274
Si 0.351 0.351 0.485
Si 0.382 0.382 0.694
Si 0.572 0.572 0.106
Si 0.573 0.573 0.318
Si 0.710 0.710 0.998
Si 0.722 0.722 0.214
Si 0.875 0.875 0.860

Values from the calculation:
- E above lowest polymorph (meV per atom) = 46.9
- calculated density (g cm⁻³) = 2.43
- M_tot (μB/f.u.) = 0.00

=====

[3]
Entry from Alexandria: a relaxed structure of Zr5Ag (PBE).

a = 4.470 Å, b = 13.440 Å, c = 4.424 Å
α = 90.00°, β = 90.00°, γ = 90.00°
Fractional coordinates of all 12 atoms:
Zr 0.000 0.000 0.000
Zr 0.000 0.165 0.500
Zr 0.000 0.335 0.000
Zr 0.000 0.665 0.000
Zr 0.000 0.835 0.500
Zr 0.500 0.165 0.000
Zr 0.500 0.335 0.500
Zr 0.500 0.500 0.000
Zr 0.500 0.665 0.500
Zr 0.500 0.835 0.000
Ag 0.000 0.500 0.500
Ag 0.500 0.000 0.500

Values from the calculation:
- E above lowest polymorph (meV per atom) = 58.3
- calculated density (g cm⁻³) = 7.05
- M_tot (μB/f.u.) = 0.00
- calculated formation energy (meV/atom) = 32

=====

[4]
Entry from Alexandria: a relaxed structure of AlPd2Rh (PBE).

a = 3.839 Å, b = 3.839 Å, c = 3.962 Å
α = 90.00°, β = 90.00°, γ = 90.00°
Fractional coordinates of all 4 atoms:
Al 0.000 0.000 0.000
Pd 0.000 0.500 0.500
Pd 0.500 0.000 0.500
Rh 0.500 0.500 0.000

Values from the calculation:
- calculated density (g cm⁻³) = 9.75
- M_tot (μB/f.u.) = 0.00
- calculated formation energy (meV/atom) = -502

=====

[5]
Entry from Alexandria: a relaxed structure of Nb2Tc (PBE).

a = 3.246 Å, b = 4.634 Å, c = 13.523 Å
α = 90.00°, β = 90.00°, γ = 90.00°
Fractional coordinates of all 12 atoms:
Nb 0.000 0.000 0.161
Nb 0.000 0.000 0.839
Nb 0.000 0.500 0.339
Nb 0.000 0.500 0.661
Nb 0.500 0.000 0.339
Nb 0.500 0.000 0.661
Nb 0.500 0.500 0.161
Nb 0.500 0.500 0.839
Tc 0.000 0.000 0.500
Tc 0.000 0.500 0.000
Tc 0.500 0.000 0.000
Tc 0.500 0.500 0.500

Values from the calculation:
- E above lowest polymorph (meV per atom) = 131.6
- calculated density (g cm⁻³) = 9.27
- M_tot (μB/f.u.) = 0.00
- calculated formation energy (meV/atom) = -144

=====

[6]
Entry from Alexandria: a relaxed structure of Ca2AgHg8 (PBE).

a = 7.505 Å, b = 7.505 Å, c = 6.754 Å
α = 105.91°, β = 105.91°, γ = 74.58°
Fractional coordinates of all 11 atoms:
Ca 0.249 0.249 0.455
Ca 0.751 0.751 0.545
Ag 0.000 0.000 0.000
Hg 0.138 0.602 0.824
Hg 0.209 0.209 0.906
Hg 0.398 0.862 0.176
Hg 0.460 0.460 0.258
Hg 0.540 0.540 0.742
Hg 0.602 0.138 0.824
Hg 0.791 0.791 0.094
Hg 0.862 0.398 0.176

Values from the calculation:
- E above lowest polymorph (meV per atom) = 134.7
- calculated density (g cm⁻³) = 8.65
- M_tot (μB/f.u.) = 0.00
- calculated formation energy (meV/atom) = -127

=====

[7]
Entry from Alexandria: a relaxed structure of Nd7Y3 (PBE).

a = 9.659 Å, b = 9.659 Å, c = 7.285 Å
α = 101.12°, β = 101.12°, γ = 31.01°
Fractional coordinates of all 10 atoms:
Nd 0.000 0.000 0.000
Nd 0.200 0.200 0.600
Nd 0.399 0.399 0.199
Nd 0.400 0.400 0.701
Nd 0.600 0.600 0.299
Nd 0.601 0.601 0.801
Nd 0.800 0.800 0.400
Y 0.000 0.000 0.500
Y 0.201 0.201 0.100
Y 0.799 0.799 0.900

Values from the calculation:
- E above lowest polymorph (meV per atom) = 0.0
- calculated density (g cm⁻³) = 6.18
- M_tot (μB/f.u.) = 0.00
- calculated formation energy (meV/atom) = 12

=====

[8]
Entry from Alexandria: a relaxed structure of Th3Ga4Co2 (PBE).

a = 5.887 Å, b = 5.887 Å, c = 8.474 Å
α = 110.48°, β = 110.48°, γ = 42.81°
Fractional coordinates of all 9 atoms:
Th 0.000 0.000 0.000
Th 0.316 0.316 0.365
Th 0.684 0.684 0.635
Ga 0.022 0.022 0.356
Ga 0.262 0.262 0.919
Ga 0.738 0.738 0.081
Ga 0.978 0.978 0.644
Co 0.393 0.393 0.728
Co 0.607 0.607 0.272

Values from the calculation:
- calculated density (g cm⁻³) = 9.81
- M_tot (μB/f.u.) = 0.00
- calculated formation energy (meV/atom) = -518

=====

[9]
Entry from Alexandria: a relaxed structure of Al3FeCo2 (PBE).

a = 2.855 Å, b = 2.855 Å, c = 8.583 Å
α = 90.00°, β = 90.00°, γ = 90.00°
Fractional coordinates of all 6 atoms:
Al 0.000 0.000 0.000
Al 0.000 0.000 0.335
Al 0.000 0.000 0.665
Fe 0.500 0.500 0.500
Co 0.500 0.500 0.165
Co 0.500 0.500 0.835

Values from the calculation:
- calculated density (g cm⁻³) = 6.04
- M_tot (μB/f.u.) = 0.38
- calculated formation energy (meV/atom) = -521

=====

[10]
Entry from Alexandria: a relaxed structure of Cs2TeCl5 (PBE).

a = 7.734 Å, b = 7.734 Å, c = 10.431 Å
α = 90.00°, β = 90.00°, γ = 90.00°
Fractional coordinates of all 16 atoms:
Cs 0.000 0.500 0.000
Cs 0.000 0.500 0.500
Cs 0.500 0.000 0.000
Cs 0.500 0.000 0.500
Te 0.000 0.000 0.246
Te 0.500 0.500 0.746
Cl 0.000 0.000 0.517
Cl 0.235 0.235 0.247
Cl 0.235 0.765 0.247
Cl 0.265 0.265 0.747
Cl 0.265 0.735 0.747
Cl 0.500 0.500 0.017
Cl 0.735 0.265 0.747
Cl 0.735 0.735 0.747
Cl 0.765 0.235 0.247
Cl 0.765 0.765 0.247

Values from the calculation:
- calculated density (g cm⁻³) = 3.04
- E_tot (eV per atom) = -3.01
- M_tot (μB/f.u.) = 1.01

=====

[11]
Entry from Alexandria: a relaxed structure of Li2InGa2 (PBE).

a = 4.276 Å, b = 4.293 Å, c = 6.691 Å
α = 90.01°, β = 107.93°, γ = 119.82°
Fractional coordinates of all 5 atoms:
Li 0.150 0.073 0.230
Li 0.850 0.927 0.770
In 0.000 0.500 0.500
Ga 0.308 0.655 0.960
Ga 0.692 0.345 0.040

Values from the calculation:
- E above lowest polymorph (meV per atom) = 17.4
- calculated density (g cm⁻³) = 4.47
- M_tot (μB/f.u.) = 0.00
- calculated formation energy (meV/atom) = -190

=====

[12]
Entry from Alexandria: a relaxed structure of TbMg2Te3 (PBE).

a = 8.318 Å, b = 4.331 Å, c = 12.222 Å
α = 90.00°, β = 95.11°, γ = 90.00°
Fractional coordinates of all 12 atoms:
Tb 0.158 0.250 0.348
Tb 0.842 0.750 0.652
Mg 0.084 0.750 0.088
Mg 0.431 0.250 0.576
Mg 0.569 0.750 0.424
Mg 0.916 0.250 0.912
Te 0.107 0.750 0.857
Te 0.179 0.750 0.540
Te 0.357 0.750 0.234
Te 0.643 0.250 0.766
Te 0.821 0.250 0.460
Te 0.893 0.250 0.143

Values from the calculation:
- calculated density (g cm⁻³) = 4.47
- E_tot (eV per atom) = -3.72
- M_tot (μB/f.u.) = 0.00

=====

[13]
Entry from Alexandria: a relaxed structure of CeLuHf2 (PBE).

a = 4.643 Å, b = 4.643 Å, c = 4.672 Å
α = 90.00°, β = 90.00°, γ = 90.00°
Fractional coordinates of all 4 atoms:
Ce 0.000 0.000 0.000
Lu 0.500 0.500 0.000
Hf 0.000 0.500 0.500
Hf 0.500 0.000 0.500

Values from the calculation:
- E above lowest polymorph (meV per atom) = 0.0
- calculated density (g cm⁻³) = 11.08
- M_tot (μB/f.u.) = 0.00
- calculated formation energy (meV/atom) = 154

=====

[14]
Entry from Alexandria: a relaxed structure of MnCrCdMo2 (PBE).

a = 4.948 Å, b = 4.948 Å, c = 4.695 Å
α = 90.00°, β = 90.00°, γ = 90.00°
Fractional coordinates of all 5 atoms:
Mn 0.000 0.000 0.000
Cr 0.500 0.500 0.000
Cd 0.500 0.500 0.500
Mo 0.000 0.500 0.500
Mo 0.500 0.000 0.500

Values from the calculation:
- calculated density (g cm⁻³) = 5.94
- M_tot (μB/f.u.) = 0.38
- calculated formation energy (meV/atom) = 2752

=====

[15]
Entry from Alexandria: a relaxed structure of Ce2ErFe (PBE).

a = 3.645 Å, b = 9.393 Å, c = 5.860 Å
α = 90.00°, β = 105.58°, γ = 90.00°
Fractional coordinates of all 8 atoms:
Ce 0.113 0.069 0.282
Ce 0.113 0.431 0.282
Ce 0.887 0.569 0.718
Ce 0.887 0.931 0.718
Er 0.458 0.250 0.828
Er 0.542 0.750 0.172
Fe 0.228 0.750 0.614
Fe 0.772 0.250 0.386

Values from the calculation:
- E above lowest polymorph (meV per atom) = 18.0
- calculated density (g cm⁻³) = 8.65
- M_tot (μB/f.u.) = 0.00
- calculated formation energy (meV/atom) = -59

=====

[16]
Entry from Alexandria: a relaxed structure of Y2ScPt (PBE).

a = 7.157 Å, b = 7.157 Å, c = 7.157 Å
α = 90.00°, β = 90.00°, γ = 90.00°
Fractional coordinates of all 16 atoms:
Y 0.000 0.000 0.000
Y 0.000 0.500 0.500
Y 0.250 0.250 0.250
Y 0.250 0.750 0.750
Y 0.500 0.000 0.500
Y 0.500 0.500 0.000
Y 0.750 0.250 0.750
Y 0.750 0.750 0.250
Sc 0.250 0.250 0.750
Sc 0.250 0.750 0.250
Sc 0.750 0.250 0.250
Sc 0.750 0.750 0.750
Pt 0.000 0.000 0.500
Pt 0.000 0.500 0.000
Pt 0.500 0.000 0.000
Pt 0.500 0.500 0.500

Values from the calculation:
- E above lowest polymorph (meV per atom) = 326.0
- calculated density (g cm⁻³) = 7.57
- M_tot (μB/f.u.) = 1.41
- calculated formation energy (meV/atom) = -312

=====

[17]
Entry from Alexandria: a relaxed structure of LiCa (PBE).

a = 3.856 Å, b = 3.856 Å, c = 8.378 Å
α = 90.00°, β = 90.00°, γ = 90.00°
Fractional coordinates of all 4 atoms:
Li 0.250 0.250 0.078
Li 0.750 0.750 0.922
Ca 0.250 0.250 0.667
Ca 0.750 0.750 0.333

Values from the calculation:
- E above lowest polymorph (meV per atom) = 5.6
- calculated density (g cm⁻³) = 1.25
- M_tot (μB/f.u.) = 0.00
- calculated formation energy (meV/atom) = 17

=====

[18]
Entry from Alexandria: a relaxed structure of Na2SiPb2 (PBE).

a = 7.497 Å, b = 7.497 Å, c = 5.203 Å
α = 90.00°, β = 90.00°, γ = 90.00°
Fractional coordinates of all 10 atoms:
Na 0.166 0.334 0.000
Na 0.334 0.834 0.000
Na 0.666 0.166 0.000
Na 0.834 0.666 0.000
Si 0.000 0.000 0.500
Si 0.500 0.500 0.500
Pb 0.148 0.648 0.500
Pb 0.352 0.148 0.500
Pb 0.648 0.852 0.500
Pb 0.852 0.352 0.500

Values from the calculation:
- calculated density (g cm⁻³) = 5.55
- E_tot (eV per atom) = -3.00
- M_tot (μB/f.u.) = 0.00

=====

[19]
Entry from Alexandria: a relaxed structure of Sr2Nb2O7 (PBE).

a = 27.379 Å, b = 7.969 Å, c = 5.805 Å
α = 90.00°, β = 90.00°, γ = 90.00°
Fractional coordinates of all 88 atoms:
Sr 0.037 0.125 0.000
Sr 0.049 0.621 0.043
Sr 0.195 0.625 0.588
Sr 0.202 0.125 0.585
Sr 0.298 0.625 0.085
Sr 0.305 0.125 0.088
Sr 0.451 0.121 0.543
Sr 0.463 0.625 0.500
Sr 0.537 0.375 0.000
Sr 0.549 0.879 0.043
Sr 0.695 0.875 0.588
Sr 0.702 0.375 0.585
Sr 0.798 0.875 0.085
Sr 0.805 0.375 0.088
Sr 0.951 0.379 0.543
Sr 0.963 0.875 0.500
Nb 0.088 0.371 0.549
Nb 0.089 0.876 0.551
Nb 0.191 0.378 0.082
Nb 0.192 0.872 0.081
Nb 0.308 0.372 0.581
Nb 0.309 0.878 0.582
Nb 0.411 0.376 0.051
Nb 0.412 0.871 0.049
Nb 0.588 0.129 0.549
Nb 0.589 0.624 0.551
Nb 0.691 0.122 0.082
Nb 0.692 0.628 0.081
Nb 0.808 0.128 0.581
Nb 0.809 0.622 0.582
Nb 0.911 0.124 0.051
Nb 0.912 0.629 0.049
O 0.034 0.387 0.756
O 0.038 0.861 0.768
O 0.049 0.892 0.292
O 0.054 0.355 0.280
O 0.099 0.624 0.534
O 0.100 0.125 0.625
O 0.139 0.411 0.884
O 0.140 0.840 0.880
O 0.158 0.361 0.389
O 0.158 0.889 0.387
O 0.198 0.125 0.061
O 0.204 0.625 0.154
O 0.242 0.399 0.837
O 0.242 0.851 0.838
O 0.258 0.351 0.338
O 0.258 0.899 0.337
O 0.296 0.125 0.654
O 0.302 0.625 0.561
O 0.342 0.389 0.887
O 0.342 0.861 0.889
O 0.360 0.340 0.380
O 0.361 0.911 0.384
O 0.400 0.625 0.125
O 0.401 0.124 0.034
O 0.446 0.855 0.780
O 0.451 0.392 0.792
O 0.462 0.361 0.268
O 0.466 0.887 0.256
O 0.534 0.113 0.756
O 0.538 0.639 0.768
O 0.549 0.608 0.292
O 0.554 0.145 0.280
O 0.599 0.876 0.534
O 0.600 0.375 0.625
O 0.639 0.089 0.884
O 0.640 0.660 0.880
O 0.658 0.139 0.389
O 0.658 0.611 0.387
O 0.698 0.375 0.061
O 0.704 0.875 0.154
O 0.742 0.101 0.837
O 0.742 0.649 0.838
O 0.758 0.149 0.338
O 0.758 0.601 0.337
O 0.796 0.375 0.654
O 0.802 0.875 0.561
O 0.842 0.111 0.887
O 0.842 0.639 0.889
O 0.860 0.160 0.380
O 0.861 0.589 0.384
O 0.900 0.875 0.125
O 0.901 0.376 0.034
O 0.946 0.645 0.780
O 0.951 0.108 0.792
O 0.962 0.139 0.268
O 0.966 0.613 0.256

Values from the calculation:
- calculated density (g cm⁻³) = 4.96
- E_tot (eV per atom) = -8.15
- M_tot (μB/f.u.) = 0.00

=====

[20]
Entry from Alexandria: a relaxed structure of KSc3Pb (PBE).

a = 5.068 Å, b = 5.068 Å, c = 5.068 Å
α = 90.00°, β = 90.00°, γ = 90.00°
Fractional coordinates of all 5 atoms:
K 0.000 0.000 0.000
Sc 0.000 0.000 0.500
Sc 0.000 0.500 0.000
Sc 0.500 0.000 0.000
Pb 0.500 0.500 0.500

Values from the calculation:
- E above lowest polymorph (meV per atom) = 700.6
- calculated density (g cm⁻³) = 4.86
- M_tot (μB/f.u.) = 0.00
- calculated formation energy (meV/atom) = 1223